*A*
Na3Tl8Cd2 | PBE-GGA | relaxed

Results
Space group: C2/m (12)
ρ in Mg/m³: 8.43
Spin magnetization in μB per formula unit: 0.000
D(E_F) in states/eV/f.u.: 4.497

Cell: 5.902 8.414 8.414 Å, 83.03 72.52 72.52°
Element x y z (fractional)
Cd (0.640, 0.702, 0.702)
Tl (0.328, 0.927, 0.415)
Tl (0.328, 0.415, 0.927)
Tl (0.795, 0.430, 0.430)
Tl (0.205, 0.570, 0.570)
Na (0.000, 0.749, 0.251)
Cd (0.360, 0.298, 0.298)
Tl (0.672, 0.585, 0.073)
Na (0.000, 0.251, 0.749)
Na (0.500, 0.000, 0.000)
Tl (0.082, 0.849, 0.849)
Tl (0.918, 0.151, 0.151)
Tl (0.672, 0.073, 0.585)

*B*
Na3Tl8Cd2 | PBE-GGA | relaxed

Results
Space group: R-3m (166)
ρ in Mg/m³: 7.79
Spin magnetization in μB per formula unit: 0.000
D(E_F) in states/eV/f.u.: 5.662

Cell: 6.405 6.405 12.153 Å, 74.72 74.72 60.00°
Element x y z (fractional)
Tl (0.728, 0.728, 0.317)
Tl (0.773, 0.272, 0.683)
Na (0.000, 0.000, 0.000)
Cd (0.363, 0.363, 0.910)
Tl (0.728, 0.227, 0.317)
Na (0.187, 0.187, 0.440)
Tl (0.272, 0.773, 0.683)
Tl (0.272, 0.272, 0.683)
Tl (0.279, 0.279, 0.164)
Tl (0.227, 0.728, 0.317)
Cd (0.637, 0.637, 0.090)
Na (0.813, 0.813, 0.560)
Tl (0.721, 0.721, 0.836)

Which structure is most stable? *A*, by 0.057 eV/atom over the runner-up.

*A*
Na5Tl2Cd2 | PBE-GGA | relaxed

Results
Space group: C2/m (12)
ρ in Mg/m³: 4.80
Spin magnetization in μB per formula unit: 0.000
D(E_F) in states/eV/f.u.: 3.485

Cell: 5.326 6.242 9.625 Å, 64.19 73.94 64.74°
Element x y z (fractional)
Cd (0.292, 0.484, 0.933)
Na (0.106, 0.468, 0.319)
Cd (0.708, 0.516, 0.067)
Na (0.581, 0.086, 0.751)
Na (0.894, 0.532, 0.681)
Na (0.000, 0.000, 0.000)
Tl (0.242, 0.909, 0.606)
Tl (0.758, 0.091, 0.394)
Na (0.419, 0.914, 0.249)

*B*
Na5Tl2Cd2 | PBE-GGA | relaxed

Results
Space group: Cmce (64)
ρ in Mg/m³: 4.55
Spin magnetization in μB per formula unit: 0.000
D(E_F) in states/eV/f.u.: 4.437

Cell: 8.103 8.104 9.254 Å, 115.97 90.00 90.00°
Element x y z (fractional)
Cd (0.376, 0.123, 0.000)
Cd (0.124, 0.623, 0.000)
Tl (0.000, 0.779, 0.559)
Na (0.000, 0.000, 0.000)
Na (0.314, 0.677, 0.728)
Na (0.814, 0.550, 0.728)
Tl (0.500, 0.721, 0.441)
Tl (0.000, 0.221, 0.441)
Tl (0.500, 0.279, 0.559)
Na (0.686, 0.050, 0.728)
Na (0.186, 0.177, 0.728)
Na (0.314, 0.950, 0.272)
Na (0.686, 0.323, 0.272)
Na (0.500, 0.500, 0.000)
Na (0.814, 0.823, 0.272)
Cd (0.624, 0.877, 0.000)
Cd (0.876, 0.377, 0.000)
Na (0.186, 0.450, 0.272)

Which structure is most stable? *A*, by 0.066 eV/atom over the runner-up.

*A*
Na4TlCd | PBE-GGA | relaxed

Results
Space group: P-1 (2)
ρ in Mg/m³: 3.92
Spin magnetization in μB per formula unit: 0.000
D(E_F) in states/eV/f.u.: 3.029

Cell: 5.928 5.913 6.160 Å, 77.71 78.04 118.43°
Element x y z (fractional)
Na (0.158, 0.342, 0.002)
Na (0.337, 0.164, 0.501)
Cd (0.499, 0.003, 0.001)
Tl (0.998, 0.503, 0.501)
Na (0.838, 0.663, 0.001)
Na (0.658, 0.841, 0.502)

*B*
Na4TlCd | PBE-GGA | relaxed

Results
Space group: F-43m (216)
ρ in Mg/m³: 3.76
Spin magnetization in μB per formula unit: 0.000
D(E_F) in states/eV/f.u.: 2.745

Cell: 6.345 6.345 6.345 Å, 60.00 60.00 60.00°
Element x y z (fractional)
Na (0.625, 0.125, 0.625)
Na (0.625, 0.625, 0.125)
Na (0.625, 0.625, 0.625)
Cd (0.000, 0.000, 0.000)
Na (0.125, 0.625, 0.625)
Tl (0.250, 0.250, 0.250)

Which structure is most stable? *A*, by 0.130 eV/atom over the runner-up.

*A*
Na4Tl2Cd | PBE-GGA | relaxed

Results
Space group: P-1 (2)
ρ in Mg/m³: 4.87
Spin magnetization in μB per formula unit: 0.000
D(E_F) in states/eV/f.u.: 3.197

Cell: 6.173 7.824 9.932 Å, 77.79 71.82 67.16°
Element x y z (fractional)
Na (0.832, 0.154, 0.252)
Na (0.289, 0.122, 0.877)
Na (0.330, 0.653, 0.764)
Cd (0.095, 0.800, 0.080)
Na (0.786, 0.629, 0.373)
Tl (0.973, 0.449, 0.681)
Na (0.740, 0.596, 0.999)
Na (0.785, 0.121, 0.877)
Tl (0.786, 0.875, 0.625)
Tl (0.286, 0.375, 0.125)
Na (0.242, 0.097, 0.486)
Tl (0.598, 0.301, 0.569)
Cd (0.476, 0.950, 0.170)
Na (0.282, 0.628, 0.372)

*B*
Na4Tl2Cd | PBE-GGA | relaxed

Results
Space group: R-3m (166)
ρ in Mg/m³: 5.07
Spin magnetization in μB per formula unit: 0.000
D(E_F) in states/eV/f.u.: 4.094

Cell: 5.435 5.435 8.451 Å, 71.24 71.24 60.00°
Element x y z (fractional)
Tl (0.280, 0.280, 0.159)
Na (0.137, 0.137, 0.589)
Na (0.584, 0.584, 0.249)
Tl (0.720, 0.720, 0.841)
Na (0.863, 0.863, 0.411)
Cd (0.000, 0.000, 0.000)
Na (0.416, 0.416, 0.751)

Which structure is most stable? *A*, by 0.012 eV/atom over the runner-up.

*A*
Na7TlCd3 | PBE-GGA | relaxed

Results
Space group: Cmcm (63)
ρ in Mg/m³: 3.58
Spin magnetization in μB per formula unit: 0.000
D(E_F) in states/eV/f.u.: 4.355

Cell: 3.331 15.885 12.403 Å, 90.00 90.00 96.02°
Element x y z (fractional)
Na (0.231, 0.461, 0.386)
Cd (0.936, 0.873, 0.626)
Na (0.639, 0.279, 0.966)
Na (0.638, 0.277, 0.250)
Tl (0.099, 0.199, 0.750)
Cd (0.064, 0.127, 0.374)
Na (0.528, 0.057, 0.606)
Na (0.472, 0.943, 0.394)
Na (0.231, 0.461, 0.114)
Cd (0.936, 0.873, 0.874)
Na (0.769, 0.539, 0.886)
Cd (0.806, 0.612, 0.250)
Cd (0.194, 0.388, 0.750)
Na (0.361, 0.721, 0.034)
Na (0.639, 0.279, 0.534)
Na (0.528, 0.057, 0.894)
Tl (0.901, 0.801, 0.250)
Na (0.769, 0.539, 0.614)
Cd (0.064, 0.127, 0.126)
Na (0.362, 0.723, 0.750)
Na (0.472, 0.943, 0.106)
Na (0.361, 0.721, 0.466)

*B*
Na7TlCd3 | PBE-GGA | relaxed

Results
Space group: P3m1 (156)
ρ in Mg/m³: 3.42
Spin magnetization in μB per formula unit: 0.000
D(E_F) in states/eV/f.u.: 5.954

Cell: 7.963 7.034 7.034 Å, 120.00 90.00 90.00°
Element x y z (fractional)
Na (0.475, 0.836, 0.671)
Na (0.100, 0.664, 0.832)
Na (0.475, 0.329, 0.164)
Na (0.475, 0.836, 0.164)
Na (0.092, 0.667, 0.333)
Tl (0.453, 0.333, 0.667)
Cd (0.782, 0.498, 0.997)
Na (0.100, 0.168, 0.832)
Cd (0.782, 0.003, 0.502)
Cd (0.782, 0.498, 0.502)
Na (0.100, 0.168, 0.336)

Which structure is most stable? *A*, by 0.048 eV/atom over the runner-up.

*A*
NaTl3Cd | PBE-GGA | relaxed

Results
Space group: P2_1/m (11)
ρ in Mg/m³: 8.81
Spin magnetization in μB per formula unit: 0.000
D(E_F) in states/eV/f.u.: 2.005

Cell: 5.272 6.337 9.257 Å, 114.15 90.00 90.00°
Element x y z (fractional)
Cd (0.015, 0.020, 0.298)
Cd (0.515, 0.748, 0.086)
Tl (0.515, 0.911, 0.471)
Tl (0.015, 0.229, 0.686)
Na (0.515, 0.147, 0.879)
Na (0.015, 0.621, 0.504)
Tl (0.015, 0.856, 0.913)
Tl (0.015, 0.458, 0.102)
Tl (0.515, 0.538, 0.697)
Tl (0.515, 0.310, 0.281)

*B*
NaTl3Cd | PBE-GGA | relaxed

Results
Space group: Pmmn (59)
ρ in Mg/m³: 8.39
Spin magnetization in μB per formula unit: 0.000
D(E_F) in states/eV/f.u.: 2.007

Cell: 5.016 7.798 7.573 Å, 90.00 90.00 90.00°
Element x y z (fractional)
Tl (0.750, 0.750, 0.037)
Na (0.750, 0.250, 0.265)
Cd (0.250, 0.250, 0.556)
Tl (0.250, 0.250, 0.963)
Cd (0.750, 0.750, 0.444)
Tl (0.250, 0.540, 0.282)
Tl (0.750, 0.040, 0.718)
Na (0.250, 0.750, 0.735)
Tl (0.750, 0.460, 0.718)
Tl (0.250, 0.960, 0.282)

*C*
NaTl3Cd | PBE-GGA | relaxed

Results
Space group: Pm-3m (221)
ρ in Mg/m³: 6.87
Spin magnetization in μB per formula unit: 0.000
D(E_F) in states/eV/f.u.: 4.337

Cell: 5.655 5.655 5.655 Å, 90.00 90.00 90.00°
Element x y z (fractional)
Cd (0.500, 0.500, 0.500)
Na (0.000, 0.000, 0.000)
Tl (0.000, 0.500, 0.000)
Tl (0.000, 0.000, 0.500)
Tl (0.500, 0.000, 0.000)

Which structure is most stable? *A*, by 0.034 eV/atom over the runner-up.

*A*
Na3Tl5Cd3 | PBE-GGA | relaxed

Results
Space group: P-62m (189)
ρ in Mg/m³: 7.23
Spin magnetization in μB per formula unit: 0.000
D(E_F) in states/eV/f.u.: 5.477

Cell: 3.324 10.672 10.672 Å, 120.00 90.00 90.00°
Element x y z (fractional)
Na (0.000, 0.420, 0.420)
Cd (0.500, 0.000, 0.333)
Tl (0.500, 0.333, 0.667)
Na (0.000, 0.580, 0.000)
Cd (0.500, 0.667, 0.667)
Cd (0.500, 0.333, 0.000)
Tl (0.500, 0.000, 0.829)
Tl (0.500, 0.171, 0.171)
Na (0.000, 0.000, 0.580)
Tl (0.500, 0.829, 0.000)
Tl (0.500, 0.667, 0.333)

*B*
Na3Tl5Cd3 | PBE-GGA | relaxed

Results
Space group: P-62m (189)
ρ in Mg/m³: 7.23
Spin magnetization in μB per formula unit: 0.000
D(E_F) in states/eV/f.u.: 6.946

Cell: 3.197 10.881 10.881 Å, 120.00 90.00 90.00°
Element x y z (fractional)
Cd (0.500, 0.000, 0.839)
Na (0.000, 0.408, 0.408)
Tl (0.500, 0.333, 0.667)
Na (0.000, 0.000, 0.592)
Tl (0.500, 0.670, 0.670)
Na (0.000, 0.592, 0.000)
Cd (0.500, 0.839, 0.000)
Cd (0.500, 0.161, 0.161)
Tl (0.500, 0.000, 0.330)
Tl (0.500, 0.667, 0.333)
Tl (0.500, 0.330, 0.000)

Which structure is most stable? *B*, by 0.014 eV/atom over the runner-up.

*A*
Na7TlCd4 | PBE-GGA | relaxed

Results
Space group: P-3m1 (164)
ρ in Mg/m³: 4.05
Spin magnetization in μB per formula unit: 0.000
D(E_F) in states/eV/f.u.: 5.108

Cell: 5.439 5.439 13.057 Å, 90.00 90.00 120.00°
Element x y z (fractional)
Na (0.333, 0.667, 0.421)
Na (0.667, 0.333, 0.579)
Na (0.667, 0.333, 0.850)
Cd (0.333, 0.667, 0.671)
Na (0.000, 0.000, 0.744)
Na (0.000, 0.000, 0.256)
Na (0.000, 0.000, 0.000)
Cd (0.333, 0.667, 0.902)
Cd (0.667, 0.333, 0.098)
Na (0.333, 0.667, 0.150)
Tl (0.000, 0.000, 0.500)
Cd (0.667, 0.333, 0.329)

*B*
Na7TlCd4 | PBE-GGA | relaxed

Results
Space group: C2/m (12)
ρ in Mg/m³: 3.77
Spin magnetization in μB per formula unit: 0.000
D(E_F) in states/eV/f.u.: 4.921

Cell: 5.878 9.203 7.952 Å, 66.36 68.31 71.38°
Element x y z (fractional)
Na (0.500, 0.000, 0.000)
Cd (0.321, 0.350, 0.007)
Na (0.186, 0.132, 0.496)
Cd (0.679, 0.650, 0.993)
Na (0.752, 0.277, 0.218)
Na (0.080, 0.583, 0.258)
Na (0.920, 0.417, 0.742)
Tl (0.000, 0.000, 0.000)
Na (0.248, 0.723, 0.782)
Na (0.814, 0.868, 0.504)
Cd (0.531, 0.321, 0.618)
Cd (0.469, 0.679, 0.382)

Which structure is most stable? *A*, by 0.046 eV/atom over the runner-up.

*A*
Na4Tl4Cd | PBE-GGA | relaxed

Results
Space group: I-42m (121)
ρ in Mg/m³: 6.12
Spin magnetization in μB per formula unit: 0.000
D(E_F) in states/eV/f.u.: 2.142

Cell: 7.989 7.989 7.126 Å, 124.09 124.09 90.00°
Element x y z (fractional)
Cd (0.000, 0.000, 0.000)
Tl (0.512, 0.512, 0.519)
Na (0.649, 0.649, 0.298)
Tl (0.993, 0.488, 0.481)
Na (0.500, 0.000, 0.000)
Na (0.000, 0.500, 0.000)
Na (0.351, 0.351, 0.702)
Tl (0.488, 0.993, 0.481)
Tl (0.007, 0.007, 0.519)

*B*
Na4Tl4Cd | PBE-GGA | relaxed

Results
Space group: I4/mmm (139)
ρ in Mg/m³: 6.71
Spin magnetization in μB per formula unit: 0.000
D(E_F) in states/eV/f.u.: 4.468

Cell: 5.003 7.535 7.535 Å, 83.67 70.61 70.61°
Element x y z (fractional)
Tl (0.500, 0.170, 0.331)
Na (0.834, 0.831, 0.000)
Na (0.165, 0.500, 0.669)
Tl (0.500, 0.830, 0.669)
Cd (0.500, 0.500, 0.000)
Na (0.166, 0.169, 0.000)
Tl (0.830, 0.169, 0.670)
Tl (0.170, 0.831, 0.330)
Na (0.835, 0.500, 0.331)

Which structure is most stable? *B*, by 0.156 eV/atom over the runner-up.

*A*
Na2Tl5Cd2 | PBE-GGA | relaxed

Results
Space group: Cmce (64)
ρ in Mg/m³: 8.00
Spin magnetization in μB per formula unit: 0.000
D(E_F) in states/eV/f.u.: 4.295

Cell: 7.897 8.171 9.263 Å, 116.17 90.00 90.00°
Element x y z (fractional)
Na (0.000, 0.781, 0.561)
Na (0.500, 0.281, 0.561)
Cd (0.872, 0.374, 0.000)
Tl (0.000, 0.000, 0.000)
Tl (0.327, 0.694, 0.745)
Tl (0.673, 0.306, 0.255)
Na (0.000, 0.219, 0.439)
Cd (0.628, 0.874, 0.000)
Cd (0.372, 0.126, 0.000)
Tl (0.827, 0.806, 0.255)
Tl (0.327, 0.948, 0.255)
Tl (0.173, 0.448, 0.255)
Tl (0.500, 0.500, 0.000)
Cd (0.128, 0.626, 0.000)
Tl (0.673, 0.052, 0.745)
Tl (0.827, 0.552, 0.745)
Na (0.500, 0.719, 0.439)
Tl (0.173, 0.194, 0.745)

*B*
Na2Tl5Cd2 | PBE-GGA | relaxed

Results
Space group: C2/m (12)
ρ in Mg/m³: 8.48
Spin magnetization in μB per formula unit: 0.000
D(E_F) in states/eV/f.u.: 4.340

Cell: 5.015 9.102 8.012 Å, 131.84 90.00 105.99°
Element x y z (fractional)
Tl (0.434, 0.869, 0.211)
Cd (0.222, 0.443, 0.122)
Tl (0.566, 0.131, 0.789)
Tl (0.881, 0.762, 0.427)
Na (0.340, 0.680, 0.672)
Tl (0.000, 0.000, 0.000)
Cd (0.778, 0.557, 0.878)
Tl (0.119, 0.238, 0.573)
Na (0.660, 0.320, 0.328)

Which structure is most stable? *B*, by 0.039 eV/atom over the runner-up.